1.
DFT (PBE) results for an optimized crystal structure of MnCrIrS.

Cell: 4.362 4.362 4.661 Å, 91.38 91.38 37.51°
Fractional coordinates of all 4 atoms:
Mn1 0.000 0.000 0.000
Cr1 0.720 0.720 0.736
Ir1 0.274 0.274 0.223
S1 0.447 0.447 0.627

Values from the calculation:
space-group type = Cm
polymorph energy (0 for the lowest one) = 158 meV per atom
raw formation energy = -0.011 eV/atom
Fermi-level density of states = 0.95 states/eV/atom


2.
DFT (PBE) results for an optimized crystal structure of Tc2IBr8.

Cell: 7.377 7.377 8.551 Å, 92.43 92.43 110.39°
Fractional coordinates of all 11 atoms:
Tc1 0.119 0.119 0.199
Tc2 0.881 0.881 0.801
I1 0.000 0.000 0.500
Br1 0.105 0.701 0.808
Br2 0.186 0.186 0.915
Br3 0.299 0.895 0.192
Br4 0.396 0.396 0.294
Br5 0.604 0.604 0.706
Br6 0.701 0.105 0.808
Br7 0.814 0.814 0.085
Br8 0.895 0.299 0.192

Values from the calculation:
space-group type = C2/m
raw formation energy = -0.218 eV/atom
Fermi-level density of states = 0.57 states/eV/atom


3.
DFT (PBE) results for an optimized crystal structure of NbSeBr2N.

Cell: 4.525 4.525 4.689 Å, 90.00 90.00 90.00°
Fractional coordinates of all 5 atoms:
Nb1 0.000 0.000 0.000
Se1 0.500 0.500 0.000
Br1 0.000 0.500 0.500
Br2 0.500 0.000 0.500
N1 0.500 0.500 0.500

Values from the calculation:
space-group type = P4/mmm
polymorph energy (0 for the lowest one) = 528 meV per atom
raw formation energy = 1.153 eV/atom
Fermi-level density of states = 0.79 states/eV/atom


4.
DFT (PBE) results for an optimized crystal structure of Mo2HRuW.

Cell: 3.991 3.991 4.020 Å, 90.00 90.00 90.00°
Fractional coordinates of all 5 atoms:
Mo1 0.000 0.500 0.000
Mo2 0.500 0.000 0.000
H1 0.000 0.000 0.000
Ru1 0.500 0.500 0.500
W1 0.000 0.000 0.500

Values from the calculation:
space-group type = P4/mmm
polymorph energy (0 for the lowest one) = 31 meV per atom
Fermi-level density of states = 0.76 states/eV/atom


5.
DFT (PBE) results for an optimized crystal structure of Mg2CdI2.

Cell: 9.806 9.806 9.806 Å, 154.95 154.95 35.71°
Fractional coordinates of all 5 atoms:
Mg1 0.250 0.750 0.500
Mg2 0.750 0.250 0.500
Cd1 0.000 0.000 0.000
I1 0.384 0.384 0.000
I2 0.616 0.616 0.000

Values from the calculation:
space-group type = I4/mmm
raw formation energy = -0.052 eV/atom
Fermi-level density of states = 0.38 states/eV/atom


6.
DFT (PBE) results for an optimized crystal structure of ThBe2Pd3.

Cell: 9.323 9.323 3.784 Å, 90.00 90.00 120.00°
Fractional coordinates of all 18 atoms:
Th1 0.000 0.000 0.000
Th2 0.333 0.667 0.500
Th3 0.667 0.333 0.500
Be1 0.185 0.371 0.000
Be2 0.185 0.815 0.000
Be3 0.371 0.185 0.000
Be4 0.629 0.815 0.000
Be5 0.815 0.185 0.000
Be6 0.815 0.629 0.000
Pd1 0.000 0.288 0.500
Pd2 0.000 0.500 0.000
Pd3 0.000 0.712 0.500
Pd4 0.288 0.000 0.500
Pd5 0.288 0.288 0.500
Pd6 0.500 0.000 0.000
Pd7 0.500 0.500 0.000
Pd8 0.712 0.000 0.500
Pd9 0.712 0.712 0.500

Values from the calculation:
space-group type = P6/mmm
DFT formation energy = -54.8 kJ per mole of atoms
Fermi-level density of states = 0.67 states/eV/atom


7.
DFT (PBE) results for an optimized crystal structure of Si2NiW.

Cell: 5.108 5.108 5.108 Å, 141.45 140.26 56.56°
Fractional coordinates of all 4 atoms:
Si1 0.000 0.000 0.000
Si2 0.713 0.213 0.500
Ni1 0.531 0.531 0.000
W1 0.285 0.785 0.500

Values from the calculation:
space-group type = Imm2
polymorph energy (0 for the lowest one) = 0 meV per atom
raw formation energy = -0.206 eV/atom
Fermi-level density of states = 0.12 states/eV/atom


8.
DFT (PBE) results for an optimized crystal structure of HgPbSeBr2.

Cell: 5.453 5.453 5.442 Å, 90.00 90.00 90.00°
Fractional coordinates of all 5 atoms:
Hg1 0.000 0.000 0.000
Pb1 0.500 0.500 0.500
Se1 0.000 0.000 0.500
Br1 0.000 0.500 0.000
Br2 0.500 0.000 0.000

Values from the calculation:
space-group type = P4/mmm
polymorph energy (0 for the lowest one) = 0 meV per atom
raw formation energy = -0.087 eV/atom
Fermi-level density of states = 0.12 states/eV/atom


9.
DFT (PBE) results for an optimized crystal structure of GeTeIr.

Cell: 3.937 3.937 5.416 Å, 90.00 90.00 120.00°
Fractional coordinates of all 3 atoms:
Ge1 0.000 0.000 0.000
Te1 0.333 0.667 0.555
Ir1 0.667 0.333 0.830

Values from the calculation:
space-group type = P3m1
raw formation energy = -0.034 eV/atom
Fermi-level density of states = 0.54 states/eV/atom


10.
DFT (PBE) results for an optimized crystal structure of Mg7Cd3Hg2.

Cell: 4.784 4.763 12.715 Å, 90.00 100.56 90.00°
Fractional coordinates of all 12 atoms:
Mg1 0.000 0.000 0.000
Mg2 0.078 0.500 0.159
Mg3 0.281 0.000 0.563
Mg4 0.418 0.000 0.839
Mg5 0.582 0.000 0.161
Mg6 0.719 0.000 0.437
Mg7 0.922 0.500 0.841
Cd1 0.350 0.500 0.691
Cd2 0.500 0.500 0.000
Cd3 0.650 0.500 0.309
Hg1 0.157 0.000 0.312
Hg2 0.843 0.000 0.688

Values from the calculation:
space-group type = P2/m
DFT formation energy = -2.6 kJ per mole of atoms
Fermi-level density of states = 0.23 states/eV/atom


11.
DFT (PBE) results for an optimized crystal structure of Sc3BeTe.

Cell: 4.796 4.796 4.796 Å, 90.00 90.00 90.00°
Fractional coordinates of all 5 atoms:
Sc1 0.000 0.000 0.500
Sc2 0.000 0.500 0.000
Sc3 0.500 0.000 0.000
Be1 0.000 0.000 0.000
Te1 0.500 0.500 0.500

Values from the calculation:
space-group type = Pm-3m
polymorph energy (0 for the lowest one) = 0 meV per atom
raw formation energy = -0.243 eV/atom
Fermi-level density of states = 0.65 states/eV/atom


12.
DFT (PBE) results for an optimized crystal structure of Ca2LaCo.

Cell: 6.661 6.661 3.636 Å, 103.66 103.66 122.92°
Fractional coordinates of all 4 atoms:
Ca1 0.000 0.500 0.000
Ca2 0.500 0.000 0.000
La1 0.000 0.000 0.500
Co1 0.500 0.500 0.500

Values from the calculation:
space-group type = C2/m
polymorph energy (0 for the lowest one) = 487 meV per atom
DFT formation energy = 50.5 kJ per mole of atoms
Fermi-level density of states = 1.42 states/eV/atom


13.
DFT (PBE) results for an optimized crystal structure of Mn2TlRh.

Cell: 4.835 4.835 4.853 Å, 103.86 103.86 37.51°
Fractional coordinates of all 4 atoms:
Mn1 0.239 0.239 0.232
Mn2 0.761 0.761 0.768
Tl1 0.000 0.000 0.500
Rh1 0.500 0.500 0.000

Values from the calculation:
space-group type = C2/m
polymorph energy (0 for the lowest one) = 119 meV per atom
DFT formation energy = 28.4 kJ per mole of atoms
Fermi-level density of states = 0.62 states/eV/atom


14.
DFT (PBE) results for an optimized crystal structure of Li8BiPd6.

Cell: 6.807 6.807 6.807 Å, 69.76 69.76 69.76°
Fractional coordinates of all 15 atoms:
Li1 0.036 0.379 0.716
Li2 0.162 0.162 0.162
Li3 0.284 0.964 0.621
Li4 0.379 0.716 0.036
Li5 0.621 0.284 0.964
Li6 0.716 0.036 0.379
Li7 0.838 0.838 0.838
Li8 0.964 0.621 0.284
Bi1 0.500 0.500 0.500
Pd1 0.116 0.800 0.462
Pd2 0.200 0.538 0.884
Pd3 0.462 0.116 0.800
Pd4 0.538 0.884 0.200
Pd5 0.800 0.462 0.116
Pd6 0.884 0.200 0.538

Values from the calculation:
space-group type = R-3
DFT formation energy = -26.9 kJ per mole of atoms
Fermi-level density of states = 0.31 states/eV/atom


15.
DFT (PBE) results for an optimized crystal structure of CeDy2Th.

Cell: 12.396 12.396 12.396 Å, 16.02 16.02 16.02°
Fractional coordinates of all 4 atoms:
Ce1 0.000 0.000 0.000
Dy1 0.090 0.090 0.090
Dy2 0.910 0.910 0.910
Th1 0.500 0.500 0.500

Values from the calculation:
space-group type = R-3m
polymorph energy (0 for the lowest one) = 125 meV per atom
DFT formation energy = 16.7 kJ per mole of atoms
Fermi-level density of states = 1.87 states/eV/atom


16.
DFT (PBE) results for an optimized crystal structure of CaAg3Te.

Cell: 5.360 5.360 5.360 Å, 90.00 90.00 90.00°
Fractional coordinates of all 5 atoms:
Ca1 0.000 0.000 0.000
Ag1 0.000 0.000 0.500
Ag2 0.000 0.500 0.000
Ag3 0.500 0.000 0.000
Te1 0.500 0.500 0.500

Values from the calculation:
space-group type = Pm-3m
polymorph energy (0 for the lowest one) = 538 meV per atom
raw formation energy = 0.803 eV/atom
Fermi-level density of states = 1.40 states/eV/atom


17.
DFT (PBE) results for an optimized crystal structure of SiPIr2.

Cell: 2.839 2.839 7.590 Å, 90.00 90.00 90.00°
Fractional coordinates of all 4 atoms:
Si1 0.000 0.000 0.000
P1 0.500 0.500 0.659
Ir1 0.000 0.000 0.477
Ir2 0.500 0.500 0.193

Values from the calculation:
space-group type = P4mm
polymorph energy (0 for the lowest one) = 312 meV per atom
raw formation energy = -0.056 eV/atom
Fermi-level density of states = 0.52 states/eV/atom


18.
DFT (PBE) results for an optimized crystal structure of Mg7Tl2InBi2.

Cell: 4.817 4.817 13.605 Å, 90.47 90.47 90.14°
Fractional coordinates of all 12 atoms:
Mg1 0.000 0.000 0.000
Mg2 0.001 0.501 0.847
Mg3 0.257 0.257 0.499
Mg4 0.499 0.999 0.153
Mg5 0.501 0.001 0.847
Mg6 0.743 0.743 0.501
Mg7 0.999 0.499 0.153
Tl1 0.000 0.000 0.315
Tl2 0.000 0.000 0.685
In1 0.500 0.500 0.000
Bi1 0.500 0.500 0.308
Bi2 0.500 0.500 0.692

Values from the calculation:
space-group type = C2/m
DFT formation energy = -3.2 kJ per mole of atoms
Fermi-level density of states = 0.41 states/eV/atom


19.
DFT (PBE) results for an optimized crystal structure of LaHoTm2Bi4.

Cell: 7.815 7.815 7.815 Å, 131.75 131.75 70.63°
Fractional coordinates of all 8 atoms:
La1 0.000 0.000 0.000
Ho1 0.500 0.500 0.000
Tm1 0.250 0.750 0.500
Tm2 0.750 0.250 0.500
Bi1 0.000 0.500 0.500
Bi2 0.255 0.255 0.000
Bi3 0.500 0.000 0.500
Bi4 0.745 0.745 0.000

Values from the calculation:
space-group type = I4/mmm
DFT formation energy = -81.2 kJ per mole of atoms
Fermi-level density of states = 0.16 states/eV/atom


20.
DFT (PBE) results for an optimized crystal structure of Sm2SnSe5.

Cell: 7.808 7.808 13.253 Å, 90.00 90.00 136.20°
Fractional coordinates of all 16 atoms:
Sm1 0.168 0.832 0.572
Sm2 0.168 0.832 0.928
Sm3 0.832 0.168 0.072
Sm4 0.832 0.168 0.428
Sn1 0.180 0.820 0.250
Sn2 0.820 0.180 0.750
Se1 0.030 0.970 0.091
Se2 0.030 0.970 0.409
Se3 0.281 0.719 0.750
Se4 0.304 0.696 0.089
Se5 0.304 0.696 0.411
Se6 0.696 0.304 0.589
Se7 0.696 0.304 0.911
Se8 0.719 0.281 0.250
Se9 0.970 0.030 0.591
Se10 0.970 0.030 0.909

Values from the calculation:
space-group type = Cmcm
polymorph energy (0 for the lowest one) = 104 meV per atom
raw formation energy = -1.198 eV/atom


21.
DFT (PBE) results for an optimized crystal structure of U2PaTc.

Cell: 3.546 3.546 6.606 Å, 90.00 90.00 90.00°
Fractional coordinates of all 4 atoms:
U1 0.000 0.000 0.208
U2 0.000 0.000 0.792
Pa1 0.500 0.500 0.500
Tc1 0.500 0.500 0.000

Values from the calculation:
space-group type = P4/mmm
polymorph energy (0 for the lowest one) = 0 meV per atom
DFT formation energy = 10.5 kJ per mole of atoms
Fermi-level density of states = 2.35 states/eV/atom


22.
DFT (PBE) results for an optimized crystal structure of AcHo2Sn.

Cell: 6.730 6.730 6.730 Å, 45.29 45.29 45.29°
Fractional coordinates of all 4 atoms:
Ac1 0.000 0.000 0.000
Ho1 0.554 0.554 0.554
Ho2 0.786 0.786 0.786
Sn1 0.195 0.195 0.195

Values from the calculation:
space-group type = R3m
polymorph energy (0 for the lowest one) = 163 meV per atom
DFT formation energy = -15.4 kJ per mole of atoms
Fermi-level density of states = 1.31 states/eV/atom


23.
DFT (PBE) results for an optimized crystal structure of Nd2In3SnTe6.

Cell: 10.448 10.448 9.386 Å, 105.29 105.29 24.85°
Fractional coordinates of all 12 atoms:
Nd1 0.167 0.167 0.333
Nd2 0.833 0.833 0.667
In1 0.167 0.167 0.836
In2 0.500 0.500 0.500
In3 0.833 0.833 0.164
Sn1 0.500 0.500 0.000
Te1 0.005 0.005 0.250
Te2 0.330 0.330 0.425
Te3 0.336 0.336 0.905
Te4 0.664 0.664 0.095
Te5 0.670 0.670 0.575
Te6 0.995 0.995 0.750

Values from the calculation:
space-group type = C2/m
raw formation energy = -0.736 eV/atom
Fermi-level density of states = 0.42 states/eV/atom


24.
DFT (PBE) results for an optimized crystal structure of Sr5Al.

Cell: 8.394 8.394 5.822 Å, 90.00 90.00 140.05°
Fractional coordinates of all 6 atoms:
Sr1 0.000 0.000 0.000
Sr2 0.147 0.853 0.500
Sr3 0.347 0.653 0.000
Sr4 0.653 0.347 0.000
Sr5 0.853 0.147 0.500
Al1 0.500 0.500 0.500

Values from the calculation:
space-group type = Cmmm
polymorph energy (0 for the lowest one) = 71 meV per atom
DFT formation energy = 4.4 kJ per mole of atoms
Fermi-level density of states = 1.03 states/eV/atom


25.
DFT (PBE) results for an optimized crystal structure of KTePt2.

Cell: 5.021 5.021 6.115 Å, 105.94 105.94 48.83°
Fractional coordinates of all 4 atoms:
K1 0.000 0.000 0.000
Te1 0.206 0.206 0.582
Pt1 0.502 0.502 0.462
Pt2 0.803 0.803 0.418

Values from the calculation:
space-group type = Cm
raw formation energy = -0.335 eV/atom
Fermi-level density of states = 0.22 states/eV/atom